Entry 1:
# Sr2Sn3Pt4Pb

Crystalline Sr2Sn3Pt4Pb at its relaxed geometry (PBE-GGA, Alexandria).

Symmetry = No. 115
Formation enthalpy at 0 K = -0.72 eV per atom
M_tot = 0.00 Bohr magnetons per cell

Cell: 4.7267 4.7267 10.8495 Å, 90.00 90.00 90.00°
With the nearest neighbours (Å) after each atom.
Fractional positions:
Sr (0.0000, 0.5000, 0.2407)  8 Pt 3.52-3.60, 7 Sn 3.59-3.91, 2 Pb 3.67
Sr (0.5000, 0.0000, 0.7593)  8 Pt 3.52-3.60, 7 Sn 3.59-3.91, 2 Pb 3.67
Sn (0.0000, 0.5000, 0.8803)  5 Pt 2.65-2.70
Sn (0.5000, 0.0000, 0.1197)  5 Pt 2.65-2.70
Sn (0.5000, 0.5000, 0.5000)  4 Pt 2.79
Pt (0.0000, 0.0000, 0.0000)  4 Sn 2.70
Pt (0.0000, 0.5000, 0.6363)  3 Sn 2.65-2.79, 2 Pb 2.79
Pt (0.5000, 0.0000, 0.3637)  3 Sn 2.65-2.79, 2 Pb 2.79
Pt (0.5000, 0.5000, 0.0000)  4 Sn 2.70
Pb (0.0000, 0.0000, 0.5000)  4 Pt 2.79


Entry 2:
# BSb3Mo

Crystalline BSb3Mo at its relaxed geometry (PBE-GGA, Alexandria).

Symmetry = No. 221
ΔE to the lowest computed polymorph = 0.0000 eV/atom
M_tot = 2.87 Bohr magnetons per cell

Cell: 4.7534 4.7534 4.7534 Å, 90.00 90.00 90.00°
With the nearest neighbours (Å) after each atom.
Fractional positions:
B (0.0000, 0.0000, 0.0000)  6 Sb 2.38
Sb (0.0000, 0.0000, 0.5000)  2 B 2.38
Sb (0.0000, 0.5000, 0.0000)  2 B 2.38
Sb (0.5000, 0.0000, 0.0000)  2 B 2.38
Mo (0.5000, 0.5000, 0.5000)  12 Sb 3.36


Entry 3:
# InBi3Ir

Crystalline InBi3Ir at its relaxed geometry (PBE-GGA, Alexandria).

Symmetry = No. 221
ΔE to the lowest computed polymorph = 0.0000 eV/atom
Formation enthalpy at 0 K = 0.46 eV per atom
M_tot = 0.00 Bohr magnetons per cell

Cell: 5.4331 5.4331 5.4331 Å, 90.00 90.00 90.00°
With the nearest neighbours (Å) after each atom.
Fractional positions:
In (0.0000, 0.0000, 0.0000)  12 Bi 3.84
Bi (0.0000, 0.5000, 0.5000)  2 Ir 2.72
Bi (0.5000, 0.0000, 0.5000)  2 Ir 2.72
Bi (0.5000, 0.5000, 0.0000)  2 Ir 2.72
Ir (0.5000, 0.5000, 0.5000)  6 Bi 2.72